A relaxed Zn2Cu4Pd crystal. Source: the Alexandria database, functional GGA-PBE.

E ... -48.24 eV for the cell shown
DFT formation energy ... 0.0 eV per formula unit
Total moment ... 0.00 μB per cell

Unit cell a=3.3014 b=3.3014 c=17.9495 alpha=90.00 beta=90.00 gamma=90.00
Closest atoms and distances in Å follow each position.
Space group I4/mmm (No. 139)
Unique sites:
Zn 0.0000 0.0000 0.0788  4 Cu 2.62, 4 Pd 2.73, 1 Zn 2.83
Cu 0.0000 0.0000 0.3554  4 Cu 2.51, 1 Pd 2.60, 4 Zn 2.62
Cu 0.0000 0.5000 0.2500  8 Cu 2.33-2.51
Pd 0.0000 0.0000 0.5000  2 Cu 2.60, 8 Zn 2.73